(1)
The following is a DFT calculation (GGA-PBEsol) of a geometry-optimized Na2AgPdPb structure.

Cell lengths 5.115, 5.115, 5.166 Å; angles 90.00, 90.00, 90.00 degrees
Element x y z (fractional)
1 Ag 0.000 0.000 0.000
2 Pd 0.500 0.500 0.500
3 Pb 0.000 0.000 0.500
4 Na 0.500 0.000 0.000
5 Na 0.000 0.500 0.000

For the energy relative to the elements, the calculation gives 48.2 kJ/mol of atoms.

(2)
The following is a DFT calculation (GGA-PBEsol) of a geometry-optimized RbNaAg2Pb structure.

Cell lengths 5.383, 5.383, 6.488 Å; angles 90.00, 90.00, 90.00 degrees
Element x y z (fractional)
1 Pb 0.000 0.000 0.000
2 Na 0.500 0.500 0.500
3 Ag 0.500 0.000 0.000
4 Rb 0.000 0.000 0.500
5 Ag 0.000 0.500 0.000

For the energy relative to the elements, the calculation gives 39.0 kJ/mol of atoms.

Among the records above, which one has the lowest energy relative to the elements? RbNaAg2Pb

What is the formula in the second record? RbNaAg2Pb